1.
Compound: Ag3PbSe
Source: Alexandria via LeMat-Bulk
Functional: PBEsol
Structure: relaxed

a = 5.1871 Å, b = 5.1871 Å, c = 5.1871 Å
α = 90.00°, β = 90.00°, γ = 90.00°
With the nearest neighbours (Å) after each atom.
Atoms (fractional coordinates):
1 Ag 0.0000 0.0000 0.5000  2 Pb 2.59
2 Ag 0.0000 0.5000 0.0000  2 Pb 2.59
3 Ag 0.5000 0.0000 0.0000  2 Pb 2.59
4 Pb 0.0000 0.0000 0.0000  6 Ag 2.59
5 Se 0.5000 0.5000 0.5000  12 Ag 3.67

Results
DOS(E_F)	5.43	states/eV/f.u.
raw formation energy	0.97	eV/atom



2.
Compound: CsH3Pt
Source: Alexandria via LeMat-Bulk
Functional: PBEsol
Structure: relaxed

a = 4.1544 Å, b = 4.1544 Å, c = 4.1544 Å
α = 90.00°, β = 90.00°, γ = 90.00°
With the nearest neighbours (Å) after each atom.
Atoms (fractional coordinates):
1 Cs 0.0000 0.0000 0.0000  6 H 2.08
2 H 0.0000 0.0000 0.5000  2 Cs 2.08
3 H 0.0000 0.5000 0.0000  2 Cs 2.08
4 H 0.5000 0.0000 0.0000  2 Cs 2.08
5 Pt 0.5000 0.5000 0.5000  12 H 2.94

Results
total energy	-9.0	eV for the cell shown
DOS(E_F)	4.20	states/eV/f.u.



3.
Compound: Y2CoNi
Source: Alexandria via LeMat-Bulk
Functional: PBEsol
Structure: relaxed

a = 3.2560 Å, b = 3.2560 Å, c = 7.4042 Å
α = 90.00°, β = 90.00°, γ = 90.00°
With the nearest neighbours (Å) after each atom.
Atoms (fractional coordinates):
1 Y 0.0000 0.0000 0.0000  1 Co 2.63, 4 Ni 2.86
2 Y 0.5000 0.5000 0.4075  1 Ni 2.68, 4 Co 2.89
3 Co 0.0000 0.0000 0.6443  4 Ni 2.48, 1 Y 2.63
4 Ni 0.5000 0.5000 0.7701  4 Co 2.48, 1 Y 2.68

Results
energy relative to the elements	0.045	eV/atom
DOS(E_F)	6.15	states/eV/f.u.



4.
Compound: Y5Zn3
Source: Alexandria via LeMat-Bulk
Functional: PBEsol
Structure: relaxed

a = 8.7444 Å, b = 8.7444 Å, c = 8.7444 Å
α = 95.85°, β = 95.85°, γ = 142.78°
With the nearest neighbours (Å) after each atom.
Atoms (fractional coordinates):
1 Y 0.0854 0.7832 0.8687  6 Zn 3.02-3.26, 1 Y 3.28
2 Y 0.2168 0.0854 0.3022  6 Zn 3.02-3.26, 1 Y 3.28
3 Y 0.2500 0.7500 0.5000  2 Y 2.79, 4 Zn 3.03
4 Y 0.2832 0.5854 0.8687  6 Zn 3.02-3.26, 1 Y 3.28
5 Y 0.4146 0.2832 0.6978  6 Zn 3.02-3.26, 1 Y 3.28
6 Y 0.5854 0.7168 0.3022  6 Zn 3.02-3.26, 1 Y 3.28
7 Y 0.7168 0.4146 0.1313  6 Zn 3.02-3.26, 1 Y 3.28
8 Y 0.7500 0.2500 0.5000  2 Y 2.79, 4 Zn 3.03
9 Y 0.7832 0.9146 0.6978  6 Zn 3.02-3.26, 1 Y 3.28
10 Y 0.9146 0.2168 0.1313  6 Zn 3.02-3.26, 1 Y 3.28
11 Zn 0.1623 0.3377 0.5000  10 Y 3.02-3.26
12 Zn 0.2500 0.2500 0.0000  2 Zn 2.79, 8 Y 3.07
13 Zn 0.3377 0.8377 0.1753  10 Y 3.02-3.26
14 Zn 0.6623 0.1623 0.8247  10 Y 3.02-3.26
15 Zn 0.7500 0.7500 0.0000  2 Zn 2.79, 8 Y 3.07
16 Zn 0.8377 0.6623 0.5000  10 Y 3.02-3.26

Results
energy relative to the elements	-0.193	eV/atom
DOS(E_F)	11.21	states/eV/f.u.
relative energy among the computed polymorphs	0	meV/atom



5.
Compound: La2TaAu
Source: Alexandria via LeMat-Bulk
Functional: PBEsol
Structure: relaxed

a = 5.5077 Å, b = 5.5077 Å, c = 3.2447 Å
α = 90.00°, β = 90.00°, γ = 90.00°
With the nearest neighbours (Å) after each atom.
Atoms (fractional coordinates):
1 La 0.0000 0.5000 0.0000  4 Ta 3.20, 4 Au 3.20, 2 La 3.24
2 La 0.5000 0.0000 0.0000  4 Ta 3.20, 4 Au 3.20, 2 La 3.24
3 Ta 0.0000 0.0000 0.5000  8 La 3.20, 2 Ta 3.24
4 Au 0.5000 0.5000 0.5000  8 La 3.20, 2 Au 3.24

Results
energy relative to the elements	0.053	eV/atom
DOS(E_F)	4.53	states/eV/f.u.
relative energy among the computed polymorphs	45	meV/atom



6.
Compound: Sc6Mo7
Source: Alexandria via LeMat-Bulk
Functional: PBEsol
Structure: relaxed

a = 10.2231 Å, b = 10.2231 Å, c = 10.2231 Å
α = 30.12°, β = 30.12°, γ = 30.12°
With the nearest neighbours (Å) after each atom.
Atoms (fractional coordinates):
1 Sc 0.0484 0.0484 0.0484  2 Sc 2.83-2.98, 6 Mo 2.95
2 Sc 0.1502 0.1502 0.1502  4 Sc 2.98-3.22, 12 Mo 3.07-3.16
3 Sc 0.3323 0.3323 0.3323  6 Mo 3.06-3.13, 9 Sc 3.07-3.39
4 Sc 0.6677 0.6677 0.6677  6 Mo 3.06-3.13, 9 Sc 3.07-3.39
5 Sc 0.8498 0.8498 0.8498  4 Sc 2.98-3.22, 12 Mo 3.07-3.16
6 Sc 0.9516 0.9516 0.9516  2 Sc 2.83-2.98, 6 Mo 2.95
7 Mo 0.0879 0.5940 0.5940  5 Mo 2.62-2.69
8 Mo 0.4060 0.4060 0.9121  5 Mo 2.62-2.69
9 Mo 0.4060 0.9121 0.4060  5 Mo 2.62-2.69
10 Mo 0.5000 0.5000 0.5000  6 Mo 2.68
11 Mo 0.5940 0.0879 0.5940  5 Mo 2.62-2.69
12 Mo 0.5940 0.5940 0.0879  5 Mo 2.62-2.69
13 Mo 0.9121 0.4060 0.4060  5 Mo 2.62-2.69

Results
energy relative to the elements	0.076	eV/atom
DOS(E_F)	17.01	states/eV/f.u.



7.
Compound: NaLaBeF2
Source: Alexandria via LeMat-Bulk
Functional: PBEsol
Structure: relaxed

a = 4.1280 Å, b = 4.1280 Å, c = 5.0939 Å
α = 90.00°, β = 90.00°, γ = 90.00°
With the nearest neighbours (Å) after each atom.
Atoms (fractional coordinates):
1 Na 0.0000 0.0000 0.0000  2 Be 2.55
2 La 0.5000 0.5000 0.0000  4 Na 2.92
3 Be 0.0000 0.0000 0.5000  4 F 2.06
4 F 0.0000 0.5000 0.5000  2 Be 2.06
5 F 0.5000 0.0000 0.5000  2 Be 2.06

Results
DOS(E_F)	3.41	states/eV/f.u.
raw formation energy	-0.73	eV/atom



8.
Compound: CrP2SeBr
Source: Alexandria via LeMat-Bulk
Functional: PBEsol
Structure: relaxed

a = 4.8929 Å, b = 4.8929 Å, c = 4.6636 Å
α = 90.00°, β = 90.00°, γ = 90.00°
With the nearest neighbours (Å) after each atom.
Atoms (fractional coordinates):
1 Cr 0.0000 0.0000 0.0000  2 Br 2.33
2 P 0.0000 0.5000 0.5000  2 Br 2.45
3 P 0.5000 0.0000 0.5000  2 Br 2.45
4 Se 0.5000 0.5000 0.0000  8 P 3.38, 4 Cr 3.46
5 Br 0.0000 0.0000 0.5000  2 Cr 2.33, 4 P 2.45

Results
DOS(E_F)	4.33	states/eV/f.u.
raw formation energy	1.40	eV/atom



9.
Compound: TcRhN3
Source: Alexandria via LeMat-Bulk
Functional: PBEsol
Structure: relaxed

a = 3.7782 Å, b = 3.7782 Å, c = 3.7782 Å
α = 90.00°, β = 90.00°, γ = 90.00°
With the nearest neighbours (Å) after each atom.
Atoms (fractional coordinates):
1 Tc 0.0000 0.0000 0.0000  12 N 2.67
2 Rh 0.5000 0.5000 0.5000  6 N 1.89
3 N 0.0000 0.5000 0.5000  2 Rh 1.89
4 N 0.5000 0.0000 0.5000  2 Rh 1.89
5 N 0.5000 0.5000 0.0000  2 Rh 1.89

Results
DOS(E_F)	3.20	states/eV/f.u.
raw formation energy	1.62	eV/atom



10.
Compound: TiNbTe2O
Source: Alexandria via LeMat-Bulk
Functional: PBEsol
Structure: relaxed

a = 5.0255 Å, b = 5.0255 Å, c = 3.8296 Å
α = 90.00°, β = 90.00°, γ = 90.00°
With the nearest neighbours (Å) after each atom.
Atoms (fractional coordinates):
1 Ti 0.0000 0.0000 0.0000  8 Te 3.16
2 Nb 0.5000 0.5000 0.0000  2 O 1.91
3 Te 0.0000 0.5000 0.5000  2 O 2.51
4 Te 0.5000 0.0000 0.5000  2 O 2.51
5 O 0.5000 0.5000 0.5000  2 Nb 1.91

Results
DOS(E_F)	4.25	states/eV/f.u.
raw formation energy	-0.25	eV/atom



11.
Compound: SrGeAs3
Source: Alexandria via LeMat-Bulk
Functional: PBEsol
Structure: relaxed

a = 5.3989 Å, b = 5.3989 Å, c = 5.3989 Å
α = 90.00°, β = 90.00°, γ = 90.00°
With the nearest neighbours (Å) after each atom.
Atoms (fractional coordinates):
1 Sr 0.0000 0.0000 0.0000  6 As 2.70
2 Ge 0.5000 0.5000 0.5000  12 As 3.82
3 As 0.0000 0.0000 0.5000  2 Sr 2.70
4 As 0.0000 0.5000 0.0000  2 Sr 2.70
5 As 0.5000 0.0000 0.0000  2 Sr 2.70

Results
energy relative to the elements	1.191	eV/atom
DOS(E_F)	3.32	states/eV/f.u.
relative energy among the computed polymorphs	1180	meV/atom



12.
Compound: Sn3F8
Source: Alexandria via LeMat-Bulk
Functional: PBEsol
Structure: relaxed

a = 5.2343 Å, b = 5.3347 Å, c = 13.2473 Å
α = 90.00°, β = 112.30°, γ = 90.00°
With the nearest neighbours (Å) after each atom.
Atoms (fractional coordinates):
1 Sn 0.0000 0.0000 0.0000  6 F 1.98-2.00
2 Sn 0.0000 0.5000 0.5000  6 F 1.98-2.00
3 Sn 0.3603 0.0478 0.3347  3 F 2.13-2.27
4 Sn 0.3603 0.4522 0.8347  3 F 2.13-2.27
5 Sn 0.6397 0.5478 0.1653  3 F 2.13-2.27
6 Sn 0.6397 0.9522 0.6653  3 F 2.13-2.27
7 F 0.0023 0.5320 0.3501  1 Sn 2.00
8 F 0.0023 0.9680 0.8501  1 Sn 2.00
9 F 0.2207 0.6846 0.0484  1 Sn 2.00
10 F 0.2207 0.8154 0.5484  1 Sn 2.00
11 F 0.3453 0.1965 0.0401  1 Sn 1.98
12 F 0.3453 0.3035 0.5401  1 Sn 1.98
13 F 0.4176 0.1109 0.7548  2 Sn 2.13-2.18
14 F 0.4176 0.3891 0.2548  2 Sn 2.13-2.18
15 F 0.5824 0.6109 0.7452  2 Sn 2.13-2.18
16 F 0.5824 0.8891 0.2452  2 Sn 2.13-2.18
17 F 0.6547 0.6965 0.4599  1 Sn 1.98
18 F 0.6547 0.8035 0.9599  1 Sn 1.98
19 F 0.7793 0.1846 0.4516  1 Sn 2.00
20 F 0.7793 0.3154 0.9516  1 Sn 2.00
21 F 0.9977 0.0320 0.1499  1 Sn 2.00
22 F 0.9977 0.4680 0.6499  1 Sn 2.00

Results
DOS(E_F)	0.00	states/eV/f.u.
raw formation energy	-2.38	eV/atom



13.
Compound: CuHg2As
Source: Alexandria via LeMat-Bulk
Functional: PBEsol
Structure: relaxed

a = 5.1751 Å, b = 5.1751 Å, c = 5.1751 Å
α = 132.47°, β = 132.47°, γ = 69.48°
With the nearest neighbours (Å) after each atom.
Atoms (fractional coordinates):
1 Cu 0.0000 0.0000 0.0000  8 Hg 2.95-2.98, 4 As 2.98
2 Hg 0.5000 0.5000 0.0000  4 Cu 2.95, 4 Hg 2.98, 4 As 2.98
3 Hg 0.7500 0.2500 0.5000  4 As 2.95, 4 Hg 2.98, 4 Cu 2.98
4 As 0.2500 0.7500 0.5000  8 Hg 2.95-2.98, 4 Cu 2.98

Results
energy relative to the elements	0.299	eV/atom
DOS(E_F)	1.24	states/eV/f.u.



14.
Compound: TaSbPb2
Source: Alexandria via LeMat-Bulk
Functional: PBEsol
Structure: relaxed

a = 3.1829 Å, b = 3.1829 Å, c = 10.2927 Å
α = 90.00°, β = 90.00°, γ = 104.57°
With the nearest neighbours (Å) after each atom.
Atoms (fractional coordinates):
1 Ta 0.0000 0.0000 0.0000  2 Sb 2.80, 2 Pb 2.98
2 Sb 0.5000 0.5000 0.8048  2 Ta 2.80
3 Pb 0.0000 0.0000 0.5019  6 Pb 3.18-3.50
4 Pb 0.5000 0.5000 0.2196  2 Ta 2.98, 4 Pb 3.18

Results
DOS(E_F)	2.54	states/eV/f.u.
raw formation energy	0.26	eV/atom



15.
Compound: Ba2HCl
Source: Alexandria via LeMat-Bulk
Functional: PBEsol
Structure: relaxed

a = 5.2570 Å, b = 5.2570 Å, c = 5.2570 Å
α = 60.00°, β = 60.00°, γ = 60.00°
With the nearest neighbours (Å) after each atom.
Atoms (fractional coordinates):
1 Ba 0.2500 0.2500 0.2500  4 H 3.22, 4 Cl 3.22
2 Ba 0.7500 0.7500 0.7500  4 Cl 3.22, 4 H 3.22
3 H 0.0000 0.0000 0.0000  8 Ba 3.22
4 Cl 0.5000 0.5000 0.5000  8 Ba 3.22

Results
total energy	-12.6	eV for the cell shown
DOS(E_F)	3.02	states/eV/f.u.



16.
Compound: Zn24Cu5
Source: Alexandria via LeMat-Bulk
Functional: PBEsol
Structure: relaxed

a = 8.0151 Å, b = 8.0151 Å, c = 8.0151 Å
α = 109.47°, β = 109.47°, γ = 109.47°
With the nearest neighbours (Å) after each atom.
Atoms (fractional coordinates):
1 Zn 0.0000 0.3079 0.5835  11 Zn 2.59-2.84, 1 Cu 2.62
2 Zn 0.0000 0.5835 0.3079  11 Zn 2.59-2.84, 1 Cu 2.62
3 Zn 0.0000 0.6250 0.8112  8 Zn 2.44-2.65, 2 Cu 2.71
4 Zn 0.0000 0.8112 0.6250  8 Zn 2.44-2.65, 2 Cu 2.71
5 Zn 0.1862 0.3750 0.3750  8 Zn 2.44-2.65, 2 Cu 2.71
6 Zn 0.1888 0.1888 0.8138  8 Zn 2.44-2.65, 2 Cu 2.71
7 Zn 0.1888 0.8138 0.1888  8 Zn 2.44-2.65, 2 Cu 2.71
8 Zn 0.2756 0.6921 0.6921  11 Zn 2.59-2.84, 1 Cu 2.62
9 Zn 0.3079 0.0000 0.5835  11 Zn 2.59-2.84, 1 Cu 2.62
10 Zn 0.3079 0.5835 0.0000  11 Zn 2.59-2.84, 1 Cu 2.62
11 Zn 0.3750 0.1862 0.3750  8 Zn 2.44-2.65, 2 Cu 2.71
12 Zn 0.3750 0.3750 0.1862  8 Zn 2.44-2.65, 2 Cu 2.71
13 Zn 0.4165 0.4165 0.7244  11 Zn 2.59-2.84, 1 Cu 2.62
14 Zn 0.4165 0.7244 0.4165  11 Zn 2.59-2.84, 1 Cu 2.62
15 Zn 0.5835 0.0000 0.3079  11 Zn 2.59-2.84, 1 Cu 2.62
16 Zn 0.5835 0.3079 0.0000  11 Zn 2.59-2.84, 1 Cu 2.62
17 Zn 0.6250 0.0000 0.8112  8 Zn 2.44-2.65, 2 Cu 2.71
18 Zn 0.6250 0.8112 0.0000  8 Zn 2.44-2.65, 2 Cu 2.71
19 Zn 0.6921 0.2756 0.6921  11 Zn 2.59-2.84, 1 Cu 2.62
20 Zn 0.6921 0.6921 0.2756  11 Zn 2.59-2.84, 1 Cu 2.62
21 Zn 0.7244 0.4165 0.4165  11 Zn 2.59-2.84, 1 Cu 2.62
22 Zn 0.8112 0.0000 0.6250  8 Zn 2.44-2.65, 2 Cu 2.71
23 Zn 0.8112 0.6250 0.0000  8 Zn 2.44-2.65, 2 Cu 2.71
24 Zn 0.8138 0.1888 0.1888  8 Zn 2.44-2.65, 2 Cu 2.71
25 Cu 0.0000 0.0000 0.0000  4 Cu 2.65, 12 Zn 2.88
26 Cu 0.0000 0.0000 0.3311  9 Zn 2.62-2.71, 1 Cu 2.65
27 Cu 0.0000 0.3311 0.0000  9 Zn 2.62-2.71, 1 Cu 2.65
28 Cu 0.3311 0.0000 0.0000  9 Zn 2.62-2.71, 1 Cu 2.65
29 Cu 0.6689 0.6689 0.6689  9 Zn 2.62-2.71, 1 Cu 2.65

Results
energy relative to the elements	0.040	eV/atom
DOS(E_F)	7.53	states/eV/f.u.



17.
Compound: Al6Ag5
Source: Alexandria via LeMat-Bulk
Functional: PBEsol
Structure: relaxed

a = 4.8936 Å, b = 6.3153 Å, c = 6.3601 Å
α = 106.22°, β = 98.19°, γ = 103.92°
With the nearest neighbours (Å) after each atom.
Atoms (fractional coordinates):
1 Al 0.0000 0.0000 0.0000  6 Ag 2.73-2.89, 6 Al 2.80-2.93
2 Al 0.0902 0.3611 0.8194  6 Ag 2.76-2.86, 6 Al 2.80-2.90
3 Al 0.4537 0.8154 0.0898  6 Ag 2.72-2.89, 6 Al 2.81-2.92
4 Al 0.6290 0.5400 0.7197  6 Ag 2.79-2.84, 6 Al 2.83-2.93
5 Al 0.7240 0.9125 0.5435  7 Ag 2.80-2.93, 5 Al 2.83-2.86
6 Al 0.8166 0.2799 0.3573  7 Ag 2.79-2.87, 5 Al 2.84-2.92
7 Ag 0.1709 0.7199 0.6440  8 Al 2.76-2.93, 4 Ag 2.90-2.96
8 Ag 0.2696 0.0952 0.4528  8 Al 2.80-2.89, 4 Ag 2.83-2.93
9 Ag 0.3609 0.4586 0.2675  7 Al 2.76-2.89, 5 Ag 2.83-2.91
10 Ag 0.5504 0.1771 0.9073  8 Al 2.76-2.87, 4 Ag 2.86-2.91
11 Ag 0.9044 0.6450 0.1719  7 Al 2.72-2.88, 5 Ag 2.83-2.96

Results
energy relative to the elements	-0.040	eV/atom
DOS(E_F)	3.95	states/eV/f.u.
relative energy among the computed polymorphs	19	meV/atom



18.
Compound: In2HgBr
Source: Alexandria via LeMat-Bulk
Functional: PBEsol
Structure: relaxed

a = 4.9308 Å, b = 5.9659 Å, c = 3.6659 Å
α = 90.00°, β = 90.00°, γ = 90.00°
With the nearest neighbours (Å) after each atom.
Atoms (fractional coordinates):
1 In 0.0000 0.0000 0.0000  2 Br 2.98, 4 Hg 3.07
2 In 0.5000 0.5000 0.4975  2 Hg 2.98, 4 Br 3.07
3 Hg 0.5000 0.0000 0.4998  6 In 2.98-3.07
4 Br 0.0000 0.5000 0.9970  6 In 2.98-3.07

Results
DOS(E_F)	1.46	states/eV/f.u.
raw formation energy	-0.25	eV/atom
relative energy among the computed polymorphs	0	meV/atom



19.
Compound: LiMnOsAu2
Source: Alexandria via LeMat-Bulk
Functional: PBEsol
Structure: relaxed

a = 4.8148 Å, b = 4.8148 Å, c = 4.2952 Å
α = 90.00°, β = 90.00°, γ = 90.00°
With the nearest neighbours (Å) after each atom.
Atoms (fractional coordinates):
1 Li 0.0000 0.0000 0.0000  8 Au 3.23, 4 Os 3.40
2 Mn 0.5000 0.5000 0.5000  2 Os 2.15
3 Os 0.5000 0.5000 0.0000  2 Mn 2.15
4 Au 0.0000 0.5000 0.5000  2 Mn 2.41
5 Au 0.5000 0.0000 0.5000  2 Mn 2.41

Results
energy relative to the elements	1.018	eV/atom
DOS(E_F)	3.20	states/eV/f.u.



20.
Compound: TbSc
Source: Alexandria via LeMat-Bulk
Functional: PBEsol
Structure: relaxed

a = 3.4181 Å, b = 3.4181 Å, c = 5.3124 Å
α = 90.00°, β = 90.00°, γ = 120.00°
With the nearest neighbours (Å) after each atom.
Atoms (fractional coordinates):
1 Tb 0.0000 0.0000 0.0000  6 Sc 3.31, 6 Tb 3.42
2 Sc 0.6667 0.3333 0.5000  6 Tb 3.31, 6 Sc 3.42

Results
energy relative to the elements	0.050	eV/atom
DOS(E_F)	3.67	states/eV/f.u.